No. 1
Density functional theory data (PBE) for an optimized crystal structure of CdBPt2.

The space group is I-42d (No. 122) and the conventional cell measures 6.6861, 6.6861 and 5.5939 Å, with angles of 90.00, 90.00 and 90.00 degrees. Symmetry generates all atoms from Cd at (0.0000, 0.0000, 0.0000), B at (0.0000, 0.0000, 0.5000) and Pt at (0.1494, 0.7500, 0.6250).

The value obtained for the volume is 63 Å³/f.u. The value obtained for the total energy is -5.15 eV per atom. As for the total magnetic moment: 0.00 Bohr magnetons per cell. Its formation energy is -0.228 eV per atom.



No. 2
Density functional theory data (PBE) for an optimized crystal structure of Cd3BPt.

The space group is Pm-3m (No. 221) and the conventional cell measures 5.1819, 5.1819 and 5.1819 Å, with angles of 90.00, 90.00 and 90.00 degrees. Symmetry generates all atoms from Cd at (0.0000, 0.0000, 0.5000), B at (0.5000, 0.5000, 0.5000) and Pt at (0.0000, 0.0000, 0.0000).

The value obtained for the volume is 139 Å³/f.u. The value obtained for the total energy is -2.12 eV per atom. As for the total magnetic moment: 0.00 Bohr magnetons per cell. The value obtained for the excess energy over the best structure of this formula in the dataset is 487 meV per atom. Its formation energy is 0.970 eV per atom.



No. 3
Density functional theory data (PBE) for an optimized crystal structure of CdBPt2.

The space group is P-1 (No. 2) and the conventional cell measures 2.8881, 5.6042 and 8.0068 Å, with angles of 78.38, 89.85 and 75.39 degrees. Symmetry generates all atoms from Cd at (0.1186, 0.2597, 0.3241), B at (0.1867, 0.1262, 0.8265), Pt at (0.3721, 0.7610, 0.9911) and Pt at (0.3884, 0.7160, 0.3596).

The value obtained for the volume is 61 Å³/f.u. The value obtained for the total energy is -5.13 eV per atom. As for the total magnetic moment: 0.00 Bohr magnetons per cell. Its formation energy is -0.211 eV per atom.



No. 4
Density functional theory data (PBE) for an optimized crystal structure of CdBPt.

The space group is Immm (No. 71) and the conventional cell measures 3.3037, 4.4156 and 14.5910 Å, with angles of 90.00, 90.00 and 90.00 degrees. Symmetry generates all atoms from Cd at (0.0000, 0.0000, 0.1701), B at (0.2465, 0.5000, 0.0000) and Pt at (0.0000, 0.0000, 0.3668).

The value obtained for the volume is 53 Å³/f.u. The value obtained for the total energy is -4.48 eV per atom. As for the total magnetic moment: 0.00 Bohr magnetons per cell. Its formation energy is 0.065 eV per atom.



No. 5
Density functional theory data (PBE) for an optimized crystal structure of Rb2CdBPt.

The space group is P4/mmm (No. 123) and the conventional cell measures 6.4148, 6.4148 and 5.1928 Å, with angles of 90.00, 90.00 and 90.00 degrees. Symmetry generates all atoms from Rb at (0.0000, 0.5000, 0.0000), Cd at (0.0000, 0.0000, 0.5000), B at (0.5000, 0.5000, 0.5000) and Pt at (0.0000, 0.0000, 0.0000).

The value obtained for the volume is 214 Å³/f.u. The value obtained for the total energy is -2.15 eV per atom. As for the total magnetic moment: 1.82 Bohr magnetons per cell. Its formation energy is 0.962 eV per atom.



No. 6
Density functional theory data (PBE) for an optimized crystal structure of CdBPt2Rh.

The space group is P4/mmm (No. 123) and the conventional cell measures 4.2217, 4.2217 and 4.1834 Å, with angles of 90.00, 90.00 and 90.00 degrees. Symmetry generates all atoms from Cd at (0.0000, 0.0000, 0.0000), B at (0.5000, 0.5000, 0.5000), Pt at (0.0000, 0.5000, 0.5000) and Rh at (0.5000, 0.5000, 0.0000).

The value obtained for the volume is 75 Å³/f.u. The value obtained for the total energy is -5.71 eV per atom. As for the total magnetic moment: 0.00 Bohr magnetons per cell. The value obtained for the excess energy over the best structure of this formula in the dataset is 0 meV per atom. Its formation energy is -0.306 eV per atom.



No. 7
Density functional theory data (PBE) for an optimized crystal structure of CdBPt2Rh.

The space group is P4/mmm (No. 123) and the conventional cell measures 4.0923, 4.0923 and 4.6334 Å, with angles of 90.00, 90.00 and 90.00 degrees. Symmetry generates all atoms from Cd at (0.0000, 0.0000, 0.0000), B at (0.0000, 0.0000, 0.5000), Pt at (0.0000, 0.5000, 0.5000) and Rh at (0.5000, 0.5000, 0.0000).

The value obtained for the volume is 78 Å³/f.u. The value obtained for the total energy is -5.26 eV per atom. As for the total magnetic moment: 0.01 Bohr magnetons per cell. The value obtained for the excess energy over the best structure of this formula in the dataset is 456 meV per atom. Its formation energy is 0.150 eV per atom.



No. 8
Density functional theory data (PBE) for an optimized crystal structure of Cd2SiBPt6.

The space group is P-1 (No. 2) and the conventional cell measures 5.6263, 5.6271 and 6.9797 Å, with angles of 66.47, 89.49 and 60.02 degrees. Symmetry generates all atoms from Cd at (0.2166, 0.0747, 0.1312), Si at (0.5000, 0.5000, 0.0000), B at (0.0000, 0.5000, 0.5000), Pt at (0.2304, 0.5450, 0.7035), Pt at (0.2317, 0.0242, 0.7088) and Pt at (0.2914, 0.4478, 0.3068).

The value obtained for the volume is 170 Å³/f.u. The value obtained for the total energy is -5.36 eV per atom. As for the total magnetic moment: 0.00 Bohr magnetons per cell.



No. 9
Density functional theory data (PBE) for an optimized crystal structure of SmCd4B3Pt12.

The space group is Im-3m (No. 229) and the conventional cell measures 8.9452, 8.9452 and 8.9452 Å, with angles of 90.00, 90.00 and 90.00 degrees. Symmetry generates all atoms from Sm at (0.0000, 0.0000, 0.0000), Cd at (0.2500, 0.2500, 0.2500), B at (0.0000, 0.0000, 0.5000), Pt at (0.0000, 0.0000, 0.2851) and Pt at (0.0000, 0.2500, 0.5000).

The value obtained for the volume is 358 Å³/f.u. The value obtained for the total energy is -4.95 eV per atom. As for the total magnetic moment: 0.00 Bohr magnetons per cell. Its formation energy is 0.090 eV per atom.



No. 10
Density functional theory data (PBE) for an optimized crystal structure of Sm2CdBPt6.

The space group is P-3m1 (No. 164) and the conventional cell measures 5.7556, 5.7556 and 6.5438 Å, with angles of 90.00, 90.00 and 120.00 degrees. Symmetry generates all atoms from Sm at (0.3333, 0.6667, 0.3385), Cd at (0.0000, 0.0000, 0.5000), B at (0.0000, 0.0000, 0.0000) and Pt at (0.1781, 0.3563, 0.8160).

The value obtained for the volume is 188 Å³/f.u. The value obtained for the total energy is -6.14 eV per atom. As for the total magnetic moment: 0.00 Bohr magnetons per cell. Its formation energy is -0.817 eV per atom.



No. 11
Density functional theory data (PBE) for an optimized crystal structure of Sm2CdB3Pt12.

The space group is R-3m (No. 166, hexagonal axes) and the conventional cell measures 8.0326, 8.0326 and 17.2053 Å, with angles of 90.00, 90.00 and 120.00 degrees. Symmetry generates all atoms from Sm at (0.0000, 0.0000, 0.1008), Cd at (0.0000, 0.0000, 0.5000), B at (0.0000, 0.5000, 0.0000), Pt at (0.0224, 0.5112, 0.8770) and Pt at (0.0581, 0.5291, 0.3512).

The value obtained for the volume is 320 Å³/f.u. The value obtained for the total energy is -6.07 eV per atom. As for the total magnetic moment: 0.00 Bohr magnetons per cell. Its formation energy is -0.355 eV per atom.



No. 12
Density functional theory data (PBE) for an optimized crystal structure of Sm2Cd2BPt4.

The space group is I4/mmm (No. 139) and the conventional cell measures 6.6461, 6.6461 and 7.8458 Å, with angles of 90.00, 90.00 and 90.00 degrees. Symmetry generates all atoms from Sm at (0.0000, 0.5000, 0.2500), Cd at (0.0000, 0.0000, 0.1820), B at (0.0000, 0.0000, 0.5000) and Pt at (0.2252, 0.2252, 0.5000).

The value obtained for the volume is 173 Å³/f.u. The value obtained for the total energy is -5.34 eV per atom. As for the total magnetic moment: 0.00 Bohr magnetons per cell. Its formation energy is -0.660 eV per atom.



Which value of total magnetic moment does entry 5 give?
1.82 Bohr magnetons per cell



Look up the total magnetic moment of the twelfth one.
0.00 Bohr magnetons per cell